# 1
Density functional theory data (PBE) for a geometry-optimized LaSm9Y2 structure.

Computed properties:
calculated total energy: -5.007 eV per atom
E_form: 0.02 eV/atom
space group: P4/mmm (123)

```
LaSm9Y2
1.0
5.129 0.000 0.000
0.000 5.129 0.000
0.000 0.000 15.411
La Sm Y
1 9 2
direct
0.000 0.000 0.000
0.000 0.500 0.169
0.000 0.500 0.500
0.000 0.500 0.831
0.500 0.000 0.169
0.500 0.000 0.500
0.500 0.000 0.831
0.500 0.500 0.000
0.500 0.500 0.336
0.500 0.500 0.664
0.000 0.000 0.334
0.000 0.000 0.666
```

=====

# 2
Density functional theory data (PBE) for a geometry-optimized Sr2PmCd3 structure.

Computed properties:
calculated total energy: -2.126 eV per atom
E_form: -0.32 eV/atom
space group: Cmmm (65)

```
Sr2PmCd3
1.0
2.818 -8.427 0.000
2.818 8.427 0.000
0.000 0.000 7.937
Sr Pm Cd
4 2 6
direct
0.000 0.000 0.000
0.000 0.000 0.500
0.334 0.666 0.000
0.666 0.334 0.000
0.334 0.666 0.500
0.666 0.334 0.500
0.172 0.828 0.272
0.172 0.828 0.728
0.500 0.500 0.265
0.500 0.500 0.735
0.828 0.172 0.272
0.828 0.172 0.728
```

=====

# 3
Density functional theory data (PBE) for a geometry-optimized BaTcTe2 structure.

Computed properties:
calculated total energy: -4.476 eV per atom
space group: I-4m2 (119)

```
BaTcTe2
1.0
-2.314 2.314 5.889
2.314 -2.314 5.889
2.314 2.314 -5.889
Ba Tc Te
1 1 2
direct
0.000 0.000 0.000
0.250 0.750 0.500
0.500 0.500 0.000
0.750 0.250 0.500
```